The following is a DFT calculation (GGA+U) of a relaxed TlFeOs2O8 crystal.

Cell lengths 5.737, 5.737, 7.659 Å; angles 90.00, 90.00, 120.00 degrees
Fractional coordinates of all 12 atoms:
1 Os 0.333 0.667 0.733
2 Os 0.667 0.333 0.267
3 O 0.667 0.333 0.035
4 O 0.331 0.237 0.335
5 O 0.333 0.667 0.965
6 O 0.094 0.331 0.665
7 O 0.763 0.094 0.335
8 O 0.906 0.669 0.335
9 O 0.669 0.763 0.665
10 O 0.237 0.906 0.665
11 Tl 0.000 0.000 0.000
12 Fe 0.000 0.000 0.500

Computed properties:
V   218.3 Å³ per cell
DOS(E_F)   0.88 states/eV per atom
Uncorrected energy   -6.78 eV per atom